Below is a relaxed La2YBeRu crystal, with properties calculated at the PBE-GGA level.

Unit cell a=5.6172 b=5.6172 c=4.2012 alpha=90.00 beta=90.00 gamma=90.00
Space group P4/mmm (No. 123)
Inequivalent atoms, fractional coordinates:
La 0.0000 0.5000 0.0000 [2 per cell]
Y 0.0000 0.0000 0.5000 [1 per cell]
Be 0.5000 0.5000 0.0000 [1 per cell]
Ru 0.5000 0.5000 0.5000 [1 per cell]

Summary:
formation energy	0.2693	eV/atom


Below is a relaxed Li2RhAu crystal, with properties calculated at the PBE-GGA level.

Unit cell a=2.7013 b=3.7988 c=5.6365 alpha=90.00 beta=90.00 gamma=90.00
Space group Pmmm (No. 47)
Inequivalent atoms, fractional coordinates:
Li 0.0000 0.0000 0.2364 [2 per cell]
Rh 0.5000 0.5000 0.0000 [1 per cell]
Au 0.5000 0.5000 0.5000 [1 per cell]

Summary:
formation energy	-0.2443	eV/atom


Below is a relaxed TiCd2Ni crystal, with properties calculated at the PBE-GGA level.

Unit cell a=6.4631 b=6.4631 c=6.4631 alpha=90.00 beta=90.00 gamma=90.00
Space group Fm-3m (No. 225)
Inequivalent atoms, fractional coordinates:
Ti 0.0000 0.0000 0.0000 [4 per cell]
Cd 0.2500 0.2500 0.2500 [8 per cell]
Ni 0.0000 0.0000 0.5000 [4 per cell]

Summary:
formation energy	0.0928	eV/atom
energy above the lowest structure with this stoichiometry	0	meV per atom


Below is a relaxed Ba2POs crystal, with properties calculated at the PBE-GGA level.

Unit cell a=5.1652 b=5.1652 c=8.5927 alpha=90.00 beta=90.00 gamma=90.00
Space group I4/mmm (No. 139)
Inequivalent atoms, fractional coordinates:
Ba 0.0000 0.5000 0.2500 [4 per cell]
P 0.0000 0.0000 0.0000 [2 per cell]
Os 0.0000 0.0000 0.5000 [2 per cell]

Summary:
formation energy	0.4989	eV/atom


Below is a relaxed LiDyHoCu crystal, with properties calculated at the PBE-GGA level.

Unit cell a=7.0826 b=7.0826 c=7.0826 alpha=90.00 beta=90.00 gamma=90.00
Space group F-43m (No. 216)
Inequivalent atoms, fractional coordinates:
Li 0.0000 0.0000 0.0000 [4 per cell]
Dy 0.2500 0.2500 0.7500 [4 per cell]
Ho 0.2500 0.2500 0.2500 [4 per cell]
Cu 0.0000 0.0000 0.5000 [4 per cell]

Summary:
formation energy	-0.0393	eV/atom


Below is a relaxed Dy2BeRu2 crystal, with properties calculated at the PBE-GGA level.

Unit cell a=9.1697 b=6.2634 c=3.4230 alpha=90.00 beta=111.80 gamma=90.00
Space group C2/m (No. 12)
Inequivalent atoms, fractional coordinates:
Dy 0.2041 0.0000 0.2039 [4 per cell]
Be 0.0000 0.5000 0.0000 [2 per cell]
Ru 0.0000 0.2548 0.5000 [4 per cell]

Summary:
formation energy	-0.3804	eV/atom
energy above the lowest structure with this stoichiometry	0	meV per atom


Below is a relaxed CrHSe2 crystal, with properties calculated at the PBE-GGA level.

Unit cell a=3.0282 b=3.0282 c=23.7417 alpha=90.00 beta=90.00 gamma=120.00
Space group R3m (No. 160, hexagonal axes)
Inequivalent atoms, fractional coordinates:
Cr 0.0000 0.0000 0.0000 [3 per cell]
H 0.0000 0.0000 0.3534 [3 per cell]
Se 0.0000 0.0000 0.1028 [3 per cell]
Se 0.0000 0.0000 0.5975 [3 per cell]

Summary:
energy above the lowest structure with this stoichiometry	256	meV per atom


Below is a relaxed SrTa2Mo crystal, with properties calculated at the PBE-GGA level.

Unit cell a=3.3698 b=4.3887 c=13.9055 alpha=90.00 beta=90.00 gamma=90.00
Space group Imm2 (No. 44)
Inequivalent atoms, fractional coordinates:
Sr 0.0000 0.0000 0.0000 [2 per cell]
Ta 0.0000 0.0000 0.3476 [2 per cell]
Ta 0.0000 0.5000 0.2266 [2 per cell]
Mo 0.0000 0.5000 0.7098 [2 per cell]

Summary:
formation energy	0.7630	eV/atom
energy above the lowest structure with this stoichiometry	256	meV per atom


Below is a relaxed Rb2Sr2Li crystal, with properties calculated at the PBE-GGA level.

Unit cell a=9.1896 b=9.1896 c=7.1864 alpha=90.00 beta=90.00 gamma=90.00
Space group P4/mbm (No. 127)
Inequivalent atoms, fractional coordinates:
Rb 0.1448 0.3552 0.0000 [4 per cell]
Sr 0.1759 0.6759 0.5000 [4 per cell]
Li 0.0000 0.0000 0.0000 [2 per cell]

Summary:
formation energy	0.3028	eV/atom
energy above the lowest structure with this stoichiometry	79	meV per atom


Below is a relaxed Sc2Pd3Au crystal, with properties calculated at the PBE-GGA level.

Unit cell a=12.7673 b=4.1184 c=9.0381 alpha=90.00 beta=116.00 gamma=90.00
Space group C2/m (No. 12)
Inequivalent atoms, fractional coordinates:
Sc 0.0078 0.0000 0.3316 [4 per cell]
Sc 0.2031 0.5000 0.3336 [4 per cell]
Pd 0.0450 0.5000 0.8772 [4 per cell]
Pd 0.1184 0.0000 0.1273 [4 per cell]
Pd 0.2118 0.0000 0.8838 [4 per cell]
Au 0.1336 0.5000 0.6112 [4 per cell]

Summary:
formation energy	-0.6559	eV/atom
energy above the lowest structure with this stoichiometry	0	meV per atom


Below is a relaxed YSn2BiPt crystal, with properties calculated at the PBE-GGA level.

Unit cell a=5.6670 b=5.6670 c=5.7610 alpha=90.00 beta=90.00 gamma=90.00
Space group P4/mmm (No. 123)
Inequivalent atoms, fractional coordinates:
Y 0.0000 0.0000 0.0000 [1 per cell]
Sn 0.0000 0.5000 0.5000 [2 per cell]
Bi 0.0000 0.0000 0.5000 [1 per cell]
Pt 0.5000 0.5000 0.0000 [1 per cell]

Summary:
formation energy	0.9277	eV/atom


Below is a relaxed CaAc2CeAs4 crystal, with properties calculated at the PBE-GGA level.

Unit cell a=7.5759 b=4.4244 c=7.5960 alpha=90.00 beta=109.35 gamma=90.00
Space group P2/m (No. 10)
Inequivalent atoms, fractional coordinates:
Ca 0.0000 0.0000 0.0000 [1 per cell]
Ac 0.5000 0.0000 0.5000 [1 per cell]
Ac 0.5000 0.5000 0.0000 [1 per cell]
Ce 0.0000 0.5000 0.5000 [1 per cell]
As 0.2295 0.0000 0.7371 [2 per cell]
As 0.2333 0.5000 0.2545 [2 per cell]

Summary:
formation energy	-1.3506	eV/atom


Record-wise total magnetization values, in μB/f.u.: 0.0; 0.4; 0.0; 1.1; 0.0; 0.0; 0.0; 0.0; 0.0; 0.0; 0.0; 0.1
Record-wise theoretical density values, in Mg/m³: 5.97; 9.01; 8.15; 7.18; 7.44; 9.75; 5.57; 8.81; 1.93; 9.43; 6.56; 6.46